[1]
! DyGaNiPd (PBE, optimized geometry); values from VASP
! SG = P-6m2
! energy relative to the lowest polymorph listed for this composition = 4 meV/atom
&SYSTEM
  ibrav = 0, nat = 8, ntyp = 4
/
ATOMIC_SPECIES
Dy 162.50 Dy.upf
Ga 69.72 Ga.upf
Ni 58.69 Ni.upf
Pd 106.42 Pd.upf
ATOMIC_POSITIONS crystal
Dy 0.000 0.000 0.000
Dy 0.667 0.333 0.500
Ga 0.333 0.667 0.268
Ga 0.333 0.667 0.732
Ni 0.000 0.000 0.324
Ni 0.000 0.000 0.676
Pd 0.667 0.333 0.174
Pd 0.667 0.333 0.826
CELL_PARAMETERS angstrom
-2.379 1.015 3.410
3.849 -1.794 0.533
3.753 8.112 0.203

=====

[2]
! DyGaNiPd (PBE, optimized geometry); values from VASP
! SG = P6_3mc
! energy relative to the lowest polymorph listed for this composition = 5 meV/atom
&SYSTEM
  ibrav = 0, nat = 8, ntyp = 4
/
ATOMIC_SPECIES
Dy 162.50 Dy.upf
Ga 69.72 Ga.upf
Ni 58.69 Ni.upf
Pd 106.42 Pd.upf
ATOMIC_POSITIONS crystal
Dy 0.667 0.333 0.252
Dy 0.333 0.667 0.752
Ga 0.000 0.000 0.488
Ga 0.000 0.000 0.988
Ni 0.333 0.667 0.429
Ni 0.667 0.333 0.929
Pd 0.333 0.667 0.081
Pd 0.667 0.333 0.581
CELL_PARAMETERS angstrom
-3.508 2.052 1.340
2.587 -1.892 2.836
4.694 7.536 0.747

=====

[3]
! DyGaNiPd (PBE, optimized geometry); values from VASP
! SG = P-3m1
! energy relative to the lowest polymorph listed for this composition = 0 meV/atom
&SYSTEM
  ibrav = 0, nat = 8, ntyp = 4
/
ATOMIC_SPECIES
Dy 162.50 Dy.upf
Ga 69.72 Ga.upf
Ni 58.69 Ni.upf
Pd 106.42 Pd.upf
ATOMIC_POSITIONS crystal
Dy 0.333 0.667 0.237
Dy 0.667 0.333 0.763
Ga 0.000 0.000 0.000
Ga 0.000 0.000 0.500
Ni 0.667 0.333 0.067
Ni 0.333 0.667 0.933
Pd 0.667 0.333 0.413
Pd 0.333 0.667 0.587
CELL_PARAMETERS angstrom
-1.335 -2.651 -3.083
1.873 -1.573 3.512
-7.967 -0.609 3.974

=====

[4]
! PrDyGaNi2 (PBE, optimized geometry); values from VASP
! energy = -5.209 eV/atom
! SG = Imm2
&SYSTEM
  ibrav = 0, nat = 5, ntyp = 4
/
ATOMIC_SPECIES
Dy 162.50 Dy.upf
Ga 69.72 Ga.upf
Ni 58.69 Ni.upf
Pr 140.91 Pr.upf
ATOMIC_POSITIONS crystal
Dy 0.202 0.202 0.000
Ga 0.500 0.000 0.500
Ni 0.768 0.500 0.268
Ni 0.232 0.500 0.732
Pr 0.798 0.798 0.000
CELL_PARAMETERS angstrom
-4.255 -3.304 -0.301
-0.238 -1.806 5.079
-0.260 4.906 -2.231

=====

[5]
! DyGaNiPt (PBE, optimized geometry); values from VASP
! SG = P-6m2
! energy relative to the lowest polymorph listed for this composition = 5 meV/atom
&SYSTEM
  ibrav = 0, nat = 8, ntyp = 4
/
ATOMIC_SPECIES
Dy 162.50 Dy.upf
Ga 69.72 Ga.upf
Ni 58.69 Ni.upf
Pt 195.08 Pt.upf
ATOMIC_POSITIONS crystal
Dy 0.000 0.000 0.000
Dy 0.667 0.333 0.500
Ga 0.333 0.667 0.260
Ga 0.333 0.667 0.740
Ni 0.000 0.000 0.330
Ni 0.000 0.000 0.670
Pt 0.667 0.333 0.178
Pt 0.667 0.333 0.822
CELL_PARAMETERS angstrom
4.281 0.000 0.000
-2.140 3.707 0.000
0.000 0.000 8.975

=====

[6]
! Dy2Ga4NiPt (PBE, optimized geometry); values from VASP
! energy = -4.619 eV/atom
! SG = Amm2
&SYSTEM
  ibrav = 0, nat = 8, ntyp = 4
/
ATOMIC_SPECIES
Dy 162.50 Dy.upf
Ga 69.72 Ga.upf
Ni 58.69 Ni.upf
Pt 195.08 Pt.upf
ATOMIC_POSITIONS crystal
Dy 0.500 0.264 0.264
Dy 0.000 0.737 0.737
Ga 0.212 0.092 0.092
Ga 0.788 0.092 0.092
Ga 0.275 0.907 0.907
Ga 0.725 0.907 0.907
Ni 0.000 0.467 0.467
Pt 0.500 0.533 0.533
CELL_PARAMETERS angstrom
6.300 0.000 0.000
0.000 1.707 6.916
0.000 -1.707 6.916